Record 1
Er4As3 after structural relaxation, computed with GGA-PBE. Values from VASP.

Geometry as Quantum ESPRESSO input:
```
&SYSTEM
  ibrav = 0, nat = 7, ntyp = 2
/
ATOMIC_SPECIES
As 74.92 As.upf
Er 167.26 Er.upf
CELL_PARAMETERS angstrom
-11.3307 -5.6716 3.5085
-8.7843 -8.5541 4.7459
-9.6088 -5.4169 7.1547
ATOMIC_POSITIONS crystal
As 0.4176 0.4176 0.4176
As 0.5780 0.5780 0.5780
As 0.9978 0.9978 0.9978
Er 0.1248 0.1248 0.1248
Er 0.2892 0.2892 0.2892
Er 0.7066 0.7066 0.7066
Er 0.8710 0.8710 0.8710
```

Calculated values
density = 8.1 g cm⁻³
total magnetic moment = 0.41 μB per formula unit
DFT total energy = -5.824 eV/atom
space group = R-3m (166)

***

Record 2
ErAs after structural relaxation, computed with GGA-PBE. Values from VASP.

Geometry as Quantum ESPRESSO input:
```
&SYSTEM
  ibrav = 0, nat = 8, ntyp = 2
/
ATOMIC_SPECIES
As 74.92 As.upf
Er 167.26 Er.upf
CELL_PARAMETERS angstrom
-2.8431 5.2658 -1.5077
-2.9450 -2.6968 -3.8652
-3.8997 -1.0458 3.7009
ATOMIC_POSITIONS crystal
As 0.7500 0.5000 0.0253
As 0.2500 0.0000 0.3382
As 0.7500 0.0000 0.6618
As 0.2500 0.5000 0.9747
Er 0.7500 0.0000 0.1665
Er 0.0000 0.5000 0.5000
Er 0.5000 0.5000 0.5000
Er 0.2500 0.0000 0.8335
```

Calculated values
density = 8.6 g cm⁻³
total magnetic moment = 0.00 μB per formula unit
DFT total energy = -5.511 eV/atom
space group = Pmma (51)

***

Record 3
ErAs after structural relaxation, computed with GGA-PBE. Values from VASP.

Geometry as Quantum ESPRESSO input:
```
&SYSTEM
  ibrav = 0, nat = 2, ntyp = 2
/
ATOMIC_SPECIES
As 74.92 As.upf
Er 167.26 Er.upf
CELL_PARAMETERS angstrom
0.0000 3.2077 3.2077
3.2077 0.0000 3.2077
3.2077 3.2077 0.0000
ATOMIC_POSITIONS crystal
As 0.0000 0.0000 0.0000
Er 0.2500 0.2500 0.2500
```

Calculated values
density = 6.1 g cm⁻³
total magnetic moment = 0.00 μB per formula unit
DFT total energy = -5.597 eV/atom
space group = F-43m (216)

***

Record 4
ErAs after structural relaxation, computed with GGA-PBE. Values from VASP.

Geometry as Quantum ESPRESSO input:
```
&SYSTEM
  ibrav = 0, nat = 2, ntyp = 2
/
ATOMIC_SPECIES
As 74.92 As.upf
Er 167.26 Er.upf
CELL_PARAMETERS angstrom
3.9745 0.0000 0.0000
-1.9873 3.4421 0.0000
0.0000 0.0000 3.6342
ATOMIC_POSITIONS crystal
As 0.6667 0.3333 0.7500
Er 0.3333 0.6667 0.2500
```

Calculated values
density = 8.1 g cm⁻³
total magnetic moment = 0.00 μB per formula unit
DFT total energy = -5.820 eV/atom
space group = P-6m2 (187)

***

Record 5
Er2As after structural relaxation, computed with GGA-PBE. Values from VASP.

Geometry as Quantum ESPRESSO input:
```
&SYSTEM
  ibrav = 0, nat = 6, ntyp = 2
/
ATOMIC_SPECIES
As 74.92 As.upf
Er 167.26 Er.upf
CELL_PARAMETERS angstrom
0.8449 0.1114 8.7802
7.9111 -1.2816 3.6864
4.1652 6.7008 3.9456
ATOMIC_POSITIONS crystal
As 0.2500 0.2500 0.2500
As 0.5000 0.5000 0.5000
Er 0.8750 0.3750 0.3750
Er 0.3750 0.8750 0.3750
Er 0.3750 0.3750 0.3750
Er 0.3750 0.3750 0.8750
```

Calculated values
density = 2.8 g cm⁻³
total magnetic moment = 1.28 μB per formula unit
DFT total energy = -3.910 eV/atom
space group = Fd-3m (227)

***

Record 6
ErAs after structural relaxation, computed with GGA-PBE. Values from VASP.

Geometry as Quantum ESPRESSO input:
```
&SYSTEM
  ibrav = 0, nat = 2, ntyp = 2
/
ATOMIC_SPECIES
As 74.92 As.upf
Er 167.26 Er.upf
CELL_PARAMETERS angstrom
-3.6543 -1.8091 0.0841
-3.0293 1.6240 2.1953
-3.1775 1.7339 -1.8789
ATOMIC_POSITIONS crystal
As 0.0000 0.0000 0.0000
Er 0.5000 0.5000 0.5000
```

Calculated values
density = 8.4 g cm⁻³
total magnetic moment = 0.00 μB per formula unit
DFT total energy = -6.126 eV/atom
space group = Fm-3m (225)

***

Which formula does entry 2 have?
ErAs

***

What is the DFT total energy in the third record?
-5.597 eV/atom